PrAgAsO: optimized geometry, PBE.

Distance to the lowest polymorph of the same formula ... 0.346 eV per atom

abc: 4.7575 6.7018 4.9128
angles: 90.00 90.00 90.00
Closest atoms and distances in Å follow each position.
Fractional coordinates of all 8 atoms:
Ag 0.0000 0.3720 0.5003  2 O 2.38
Ag 0.0000 0.6280 0.0003  2 O 2.38
Pr 0.5000 0.7171 0.5014  2 O 2.27-2.53
Pr 0.5000 0.2829 0.0014  2 O 2.27-2.53
As 0.0000 0.9969 0.2531  2 As 2.46
As 0.0000 0.0031 0.7531  2 As 2.46
O 0.5000 0.6220 0.9991  2 Pr 2.27-2.53, 2 Ag 2.38
O 0.5000 0.3780 0.4991  2 Pr 2.27-2.53, 2 Ag 2.38

=====

K3W2Cl9: optimized geometry, PBE.

abc: 7.2741 7.2741 16.1240
angles: 90.00 90.00 120.00
Closest atoms and distances in Å follow each position.
Fractional coordinates of all 28 atoms:
K 0.6667 0.3333 0.4275  9 Cl 3.26-3.52
K 0.0000 0.0000 0.7500  9 Cl 3.19-3.36
K 0.6667 0.3333 0.0725  9 Cl 3.26-3.52
K 0.3333 0.6667 0.9275  9 Cl 3.26-3.52
K 0.3333 0.6667 0.5725  9 Cl 3.26-3.52
K 0.0000 0.0000 0.2500  9 Cl 3.19-3.36
Cl 0.4302 0.9844 0.7500  2 W 2.54
Cl 0.5698 0.0156 0.2500  2 W 2.54
Cl 0.3520 0.2314 0.5951  1 W 2.41
Cl 0.7687 0.1207 0.5951  1 W 2.41
Cl 0.4458 0.4301 0.2500  2 W 2.54
Cl 0.0157 0.4458 0.7500  2 W 2.54
Cl 0.9843 0.5542 0.2500  2 W 2.54
Cl 0.7687 0.1207 0.9049  1 W 2.41
Cl 0.1207 0.3520 0.0951  1 W 2.41
Cl 0.8793 0.6480 0.5951  1 W 2.41
Cl 0.1207 0.3520 0.4049  1 W 2.41
Cl 0.3520 0.2314 0.9049  1 W 2.41
Cl 0.6480 0.7686 0.4049  1 W 2.41
Cl 0.8793 0.6480 0.9049  1 W 2.41
Cl 0.2313 0.8793 0.4049  1 W 2.41
Cl 0.2313 0.8793 0.0951  1 W 2.41
Cl 0.6480 0.7686 0.0951  1 W 2.41
Cl 0.5542 0.5699 0.7500  2 W 2.54
W 0.6666 0.3333 0.6764  1 W 2.37, 6 Cl 2.41-2.54
W 0.3334 0.6667 0.1764  1 W 2.37, 6 Cl 2.41-2.54
W 0.3334 0.6667 0.3236  1 W 2.37, 6 Cl 2.41-2.54
W 0.6666 0.3333 0.8236  1 W 2.37, 6 Cl 2.41-2.54

=====

NaGeTe4Au3: optimized geometry, PBE.

Distance to the lowest polymorph of the same formula ... 0.000 eV per atom

abc: 6.9429 8.1757 10.5003
angles: 90.00 107.89 90.00
Closest atoms and distances in Å follow each position.
Fractional coordinates of all 18 atoms:
Te 0.4617 0.0114 0.2568  2 Au 2.69-2.82, 1 Ge 2.72
Te 0.2101 0.2500 0.9380  1 Au 2.64, 1 Ge 2.65
Te 0.5383 0.5114 0.7432  2 Au 2.69-2.82, 1 Ge 2.72
Te 0.5383 0.9886 0.7432  2 Au 2.69-2.82, 1 Ge 2.72
Te 0.4617 0.4886 0.2568  2 Au 2.69-2.82, 1 Ge 2.72
Te 0.7899 0.7500 0.0620  1 Au 2.64, 1 Ge 2.65
Te 0.9616 0.2500 0.4687  2 Au 2.68, 1 Ge 2.79
Te 0.0384 0.7500 0.5313  2 Au 2.68, 1 Ge 2.79
Au 0.7055 0.0623 0.5508  2 Te 2.68-2.69, 1 Au 2.91
Au 0.7055 0.4377 0.5508  2 Te 2.68-2.69, 1 Au 2.91
Au 0.1846 0.7500 0.1813  3 Te 2.64-2.82
Au 0.2945 0.5623 0.4492  2 Te 2.68-2.69, 1 Au 2.91
Au 0.2945 0.9377 0.4492  2 Te 2.68-2.69, 1 Au 2.91
Au 0.8154 0.2500 0.8187  3 Te 2.64-2.82
Na 0.2606 0.7500 0.9138  1 Au 3.01
Na 0.7394 0.2500 0.0862  1 Au 3.01
Ge 0.2855 0.2500 0.7055  4 Te 2.65-2.79
Ge 0.7145 0.7500 0.2945  4 Te 2.65-2.79

=====

Zr4Bi3Mo2C3: optimized geometry, PBE.

abc: 5.9709 5.9709 14.3439
angles: 101.79 101.79 60.15
Closest atoms and distances in Å follow each position.
Fractional coordinates of all 24 atoms:
Zr 0.3056 0.1352 0.9149  3 C 2.32-2.33
Zr 0.1916 0.0311 0.5851  3 C 2.32-2.33
Zr 0.6944 0.8648 0.0851  3 C 2.32-2.33
Zr 0.8648 0.6944 0.5851  3 C 2.32-2.33
Zr 0.1352 0.3056 0.4149  3 C 2.32-2.33
Zr 0.0311 0.1916 0.0851  3 C 2.32-2.33
Zr 0.8084 0.9689 0.4149  3 C 2.32-2.33
Zr 0.9689 0.8084 0.9149  3 C 2.32-2.33
Bi 0.2636 0.4170 0.7492  4 Zr 3.06-3.09, 2 Mo 3.15-3.21, 2 Bi 3.28-3.29
Bi 0.5830 0.7364 0.7508  4 Zr 3.06-3.09, 2 Mo 3.15-3.21, 2 Bi 3.28-3.29
Bi 0.7364 0.5830 0.2508  4 Zr 3.06-3.09, 2 Mo 3.15-3.21, 2 Bi 3.28-3.29
Bi 0.8980 0.1020 0.7500  4 Zr 3.06-3.08, 2 Mo 3.15, 2 Bi 3.28
Bi 0.1020 0.8980 0.2500  4 Zr 3.06-3.08, 2 Mo 3.15, 2 Bi 3.28
Bi 0.4170 0.2636 0.2492  4 Zr 3.06-3.09, 2 Mo 3.15-3.21, 2 Bi 3.28-3.29
Mo 0.5221 0.3495 0.5676  3 C 2.17-2.19
Mo 0.3495 0.5221 0.0676  3 C 2.17-2.19
Mo 0.4779 0.6505 0.4324  3 C 2.17-2.19
Mo 0.6505 0.4779 0.9324  3 C 2.17-2.19
C 0.8265 0.3366 0.4998  2 Mo 2.19, 4 Zr 2.32-2.33
C 0.6634 0.1735 0.0002  2 Mo 2.19, 4 Zr 2.32-2.33
C 0.1735 0.6634 0.5002  2 Mo 2.19, 4 Zr 2.32-2.33
C 0.5000 0.0000 0.5000  2 Mo 2.17, 4 Zr 2.32-2.33
C 0.3366 0.8265 0.9998  2 Mo 2.19, 4 Zr 2.32-2.33
C 0.0000 0.5000 0.0000  2 Mo 2.17, 4 Zr 2.32-2.33

=====

Calculated electronic total energy, -5.53, -4.58, -3.27, -8.33 eV/atom (same order as the records).